(1)
Below is crystalline Sr3Zn8 at its relaxed geometry, with properties calculated at the PBE-GGA level.

Space-group type: Immm (71)
Energy of formation in eV per atom: -0.234
Total DFT energy (no corrections) in eV/atom: -1.619
Magnetic moment in μB/f.u.: 0.00

The structure in POSCAR format:
```
Sr3Zn8
1.0
-2.121 2.239 13.553
2.121 -2.239 13.553
2.121 2.239 -13.553
Sr Zn
3 8
Direct
0.000 0.000 0.000
0.350 0.850 0.500
0.650 0.150 0.500
0.099 0.599 0.500
0.196 0.696 0.500
0.251 0.251 0.000
0.450 0.450 0.000
0.550 0.550 0.000
0.749 0.749 0.000
0.804 0.304 0.500
0.901 0.401 0.500
```


(2)
Below is crystalline PuGeI6 at its relaxed geometry, with properties calculated at the PBE-GGA level.

Space-group type: C2/m (12)
Total DFT energy (no corrections) in eV/atom: -4.150
Formation energy from raw total energies in meV per atom: -618.4
Magnetic moment in μB/f.u.: 4.00

The structure in POSCAR format:
```
PuGeI6
1.0
3.723 -6.999 0.000
3.723 6.999 0.000
-2.260 0.000 7.090
Pu Ge I
1 1 6
Direct
0.000 0.000 0.000
0.500 0.500 0.500
0.105 0.399 0.252
0.249 0.249 0.752
0.399 0.105 0.252
0.601 0.895 0.748
0.751 0.751 0.248
0.895 0.601 0.748
```


(3)
Below is crystalline LaPa2PdN4 at its relaxed geometry, with properties calculated at the PBE-GGA level.

Space-group type: Cmcm (63)
Total DFT energy (no corrections) in eV/atom: -9.085
Formation energy from raw total energies in meV per atom: -1283.7
Magnetic moment in μB/f.u.: 0.00

The structure in POSCAR format:
```
LaPa2PdN4
1.0
1.789 -5.808 0.000
1.789 5.808 0.000
0.000 0.000 11.945
La Pa Pd N
2 4 2 8
Direct
0.102 0.898 0.750
0.898 0.102 0.250
0.370 0.630 0.559
0.370 0.630 0.941
0.630 0.370 0.059
0.630 0.370 0.441
0.168 0.832 0.250
0.832 0.168 0.750
0.000 0.000 0.000
0.000 0.000 0.500
0.268 0.732 0.096
0.268 0.732 0.404
0.457 0.543 0.750
0.543 0.457 0.250
0.732 0.268 0.596
0.732 0.268 0.904
```